1.
Crystalline Nb2CuSi2As at its relaxed geometry. Source: the Open Quantum Materials Database, functional PBE-GGA.

a = 4.0060 Å, b = 4.0060 Å, c = 6.2474 Å
α = 90.00°, β = 90.00°, γ = 90.00°
Space group P4mm (No. 99)
Unique sites:
1 Nb 0.0000 0.5000 0.0000 (multiplicity 2)
2 Cu 0.0000 0.0000 0.3152 (multiplicity 1)
3 Si 0.0000 0.0000 0.6860 (multiplicity 1)
4 Si 0.5000 0.5000 0.2866 (multiplicity 1)
5 As 0.5000 0.5000 0.6864 (multiplicity 1)

Computed properties:
E_tot   -39.68 eV/f.u.

2.
Crystalline AcPrTh at its relaxed geometry. Source: the Open Quantum Materials Database, functional PBE-GGA.

a = 7.9319 Å, b = 7.9319 Å, c = 7.9319 Å
α = 90.00°, β = 90.00°, γ = 90.00°
Space group F-43m (No. 216)
Unique sites:
1 Ac 0.0000 0.0000 0.0000 (multiplicity 4)
2 Pr 0.2500 0.2500 0.2500 (multiplicity 4)
3 Th 0.0000 0.0000 0.5000 (multiplicity 4)

Computed properties:
Formation energy from the elements   0.760 eV/atom

3.
Crystalline CsLaGd at its relaxed geometry. Source: the Open Quantum Materials Database, functional PBE-GGA.

a = 7.9544 Å, b = 7.9544 Å, c = 7.9544 Å
α = 90.00°, β = 90.00°, γ = 90.00°
Space group F-43m (No. 216)
Unique sites:
1 Cs 0.0000 0.0000 0.0000 (multiplicity 4)
2 La 0.2500 0.2500 0.7500 (multiplicity 4)
3 Gd 0.2500 0.2500 0.2500 (multiplicity 4)

Computed properties:
E_tot   -7.00 eV/f.u.